No. 1
This record from Alexandria via LeMat-Bulk describes a relaxed structure of Nd2Zn3GeAu4. The functional is PBE.

Cell: 4.3859 4.3859 10.7839 Å, 90.00 90.00 90.00°
Element x y z (fractional)
Nd 0.0000 0.5000 0.2450
Nd 0.5000 0.0000 0.7550
Zn 0.0000 0.0000 0.0000
Zn 0.0000 0.5000 0.6317
Zn 0.5000 0.0000 0.3683
Ge 0.5000 0.5000 0.0000
Au 0.0000 0.0000 0.5000
Au 0.0000 0.5000 0.8646
Au 0.5000 0.0000 0.1354
Au 0.5000 0.5000 0.5000

* ΔE_f: -0.518 eV/atom

No. 2
This record from Alexandria via LeMat-Bulk describes a relaxed structure of CaBSb3. The functional is PBE.

Cell: 5.7074 5.7074 5.7074 Å, 90.00 90.00 90.00°
Element x y z (fractional)
Ca 0.0000 0.0000 0.0000
B 0.5000 0.5000 0.5000
Sb 0.0000 0.0000 0.5000
Sb 0.0000 0.5000 0.0000
Sb 0.5000 0.0000 0.0000

* ΔE_f (raw): 1524.8 meV/atom

No. 3
This record from Alexandria via LeMat-Bulk describes a relaxed structure of Tb3Tl2C. The functional is PBE.

Cell: 8.4703 8.4703 3.6403 Å, 90.00 90.00 145.72°
Element x y z (fractional)
Tb 0.0000 0.0000 0.0000
Tb 0.3944 0.6056 0.5000
Tb 0.6056 0.3944 0.5000
Tl 0.1941 0.8059 0.0000
Tl 0.8059 0.1941 0.0000
C 0.5000 0.5000 0.0000

* ΔE_f: -0.369 eV/atom